The following is a GGA-PBE calculation of crystalline Tb3SmPd6 at its relaxed geometry, from Alexandria via LeMat-Bulk.

CIF file:
```
data_Tb3SmPd6
_chemical_formula_sum 'Tb6 Sm2 Pd12'
_cell_length_a 8.172
_cell_length_b 4.587
_cell_length_c 11.533
_cell_angle_alpha 90.00
_cell_angle_beta 103.11
_cell_angle_gamma 90.00
_space_group_name_H-M_alt 'P 1 21/m 1'
_space_group_IT_number 11
loop_
_space_group_symop_operation_xyz
'x,y,z'
'-x,-y,-z'
'-x,y+1/2,-z'
'x,-y+1/2,z'
loop_
_atom_site_label
_atom_site_type_symbol
_atom_site_fract_x
_atom_site_fract_y
_atom_site_fract_z
Tb1 Tb 0.016 0.250 0.123
Tb2 Tb 0.138 0.250 0.686
Tb3 Tb 0.311 0.750 0.506
Sm1 Sm 0.404 0.750 0.094
Pd1 Pd 0.062 0.250 0.419
Pd2 Pd 0.167 0.750 0.253
Pd3 Pd 0.228 0.250 0.941
Pd4 Pd 0.349 0.750 0.795
Pd5 Pd 0.355 0.250 0.316
Pd6 Pd 0.459 0.250 0.653
```

Properties
ΔH_f (0 K): -0.84 eV per atom
theoretical density: 10.0 g/cm3
raw total energy: -116.26 eV per cell